Run one
BeBAu2 | PBE-GGA | optimized geometry

```
data_BeBAu2
_chemical_formula_sum 'Be4 B4 Au8'
_cell_length_a 5.904
_cell_length_b 5.904
_cell_length_c 5.904
_cell_angle_alpha 90.00
_cell_angle_beta 90.00
_cell_angle_gamma 90.00
_symmetry_space_group_name_H-M 'F m -3 m'
_symmetry_Int_Tables_number 225
_symmetry_space_group_name_Hall '-F 4 2 3'
loop_
_atom_site_label
_atom_site_fract_x
_atom_site_fract_y
_atom_site_fract_z
_atom_site_occupancy
Be1 0.000 0.000 0.000 1
B1 0.000 0.000 0.500 1
Au1 0.250 0.250 0.250 1
```

Its density of states at the Fermi level is 0.307 states/eV/atom. The value obtained for the magnetic moment is 0.00 μB per formula unit.

***

Run two
BeBAu2 | PBE-GGA | optimized geometry

```
data_BeBAu2
_chemical_formula_sum 'Be4 B4 Au8'
_cell_length_a 5.065
_cell_length_b 5.065
_cell_length_c 10.433
_cell_angle_alpha 90.00
_cell_angle_beta 90.00
_cell_angle_gamma 90.00
_symmetry_space_group_name_H-M 'I -4 2 d'
_symmetry_Int_Tables_number 122
_symmetry_space_group_name_Hall 'I -4 2bw'
loop_
_atom_site_label
_atom_site_fract_x
_atom_site_fract_y
_atom_site_fract_z
_atom_site_occupancy
Be1 0.000 0.000 0.000 1
B1 0.000 0.000 0.500 1
Au1 0.221 0.250 0.625 1
```

Its density of states at the Fermi level is 0.365 states/eV/atom. The value obtained for the magnetic moment is 0.00 μB per formula unit.

***

Q: Which of them is the most stable? A: run two.

***

Run one
BeB2Au2 | PBE-GGA | optimized geometry

```
data_BeB2Au2
_chemical_formula_sum 'Be2 B4 Au4'
_cell_length_a 6.552
_cell_length_b 6.552
_cell_length_c 3.259
_cell_angle_alpha 90.00
_cell_angle_beta 90.00
_cell_angle_gamma 90.00
_symmetry_space_group_name_H-M 'P 4/m b m'
_symmetry_Int_Tables_number 127
_symmetry_space_group_name_Hall '-P 4 2ab'
loop_
_atom_site_label
_atom_site_fract_x
_atom_site_fract_y
_atom_site_fract_z
_atom_site_occupancy
Be1 0.000 0.000 0.000 1
B1 0.089 0.411 0.500 1
Au1 0.237 0.263 0.000 1
```

Its density of states at the Fermi level is 0.257 states/eV/atom. The value obtained for the magnetic moment is 0.00 μB per formula unit.

***

Run two
BeB2Au2 | PBE-GGA | optimized geometry

```
data_BeB2Au2
_chemical_formula_sum 'Be2 B4 Au4'
_cell_length_a 2.816
_cell_length_b 2.816
_cell_length_c 14.695
_cell_angle_alpha 90.00
_cell_angle_beta 90.00
_cell_angle_gamma 90.00
_symmetry_space_group_name_H-M 'I 4/m m m'
_symmetry_Int_Tables_number 139
_symmetry_space_group_name_Hall '-I 4 2'
loop_
_atom_site_label
_atom_site_fract_x
_atom_site_fract_y
_atom_site_fract_z
_atom_site_occupancy
Be1 0.000 0.000 0.000 1
B1 0.000 0.500 0.250 1
Au1 0.000 0.000 0.390 1
```

Its density of states at the Fermi level is 0.272 states/eV/atom. The value obtained for the magnetic moment is 0.00 μB per formula unit.

***

Q: Which of them is the most stable? A: run two.

***

Run one
BiBAu3 | PBE-GGA | optimized geometry

```
data_BiBAu3
_chemical_formula_sum 'Bi1 B1 Au3'
_cell_length_a 5.421
_cell_length_b 5.421
_cell_length_c 5.421
_cell_angle_alpha 90.00
_cell_angle_beta 90.00
_cell_angle_gamma 90.00
_symmetry_space_group_name_H-M 'P m -3 m'
_symmetry_Int_Tables_number 221
_symmetry_space_group_name_Hall '-P 4 2 3'
loop_
_atom_site_label
_atom_site_fract_x
_atom_site_fract_y
_atom_site_fract_z
_atom_site_occupancy
Bi1 0.000 0.000 0.000 1
B1 0.500 0.500 0.500 1
Au1 0.000 0.000 0.500 1
```

Its density of states at the Fermi level is 0.714 states/eV/atom. The value obtained for the magnetic moment is 0.00 μB per formula unit.

***

Run two
BiBAu3 | PBE-GGA | optimized geometry

```
data_BiBAu3
_chemical_formula_sum 'Bi1 B1 Au3'
_cell_length_a 4.547
_cell_length_b 4.547
_cell_length_c 4.547
_cell_angle_alpha 90.00
_cell_angle_beta 90.00
_cell_angle_gamma 90.00
_symmetry_space_group_name_H-M 'P m -3 m'
_symmetry_Int_Tables_number 221
_symmetry_space_group_name_Hall '-P 4 2 3'
loop_
_atom_site_label
_atom_site_fract_x
_atom_site_fract_y
_atom_site_fract_z
_atom_site_occupancy
Bi1 0.000 0.000 0.000 1
B1 0.500 0.500 0.500 1
Au1 0.000 0.500 0.500 1
```

Its density of states at the Fermi level is 0.333 states/eV/atom. The value obtained for the magnetic moment is 0.00 μB per formula unit.

***

Q: Which of them is the most stable? A: run two.

***

Run one
BiB3Au | PBE-GGA | optimized geometry

```
data_BiB3Au
_chemical_formula_sum 'Bi1 B3 Au1'
_cell_length_a 4.713
_cell_length_b 4.713
_cell_length_c 4.713
_cell_angle_alpha 90.00
_cell_angle_beta 90.00
_cell_angle_gamma 90.00
_symmetry_space_group_name_H-M 'P m -3 m'
_symmetry_Int_Tables_number 221
_symmetry_space_group_name_Hall '-P 4 2 3'
loop_
_atom_site_label
_atom_site_fract_x
_atom_site_fract_y
_atom_site_fract_z
_atom_site_occupancy
Bi1 0.000 0.000 0.000 1
B1 0.000 0.000 0.500 1
Au1 0.500 0.500 0.500 1
```

Its density of states at the Fermi level is 0.560 states/eV/atom. The value obtained for the magnetic moment is 0.00 μB per formula unit.

***

Run two
BiB3Au | PBE-GGA | optimized geometry

```
data_BiB3Au
_chemical_formula_sum 'Bi1 B3 Au1'
_cell_length_a 4.347
_cell_length_b 4.347
_cell_length_c 4.347
_cell_angle_alpha 90.00
_cell_angle_beta 90.00
_cell_angle_gamma 90.00
_symmetry_space_group_name_H-M 'P m -3 m'
_symmetry_Int_Tables_number 221
_symmetry_space_group_name_Hall '-P 4 2 3'
loop_
_atom_site_label
_atom_site_fract_x
_atom_site_fract_y
_atom_site_fract_z
_atom_site_occupancy
Bi1 0.000 0.000 0.000 1
B1 0.000 0.500 0.500 1
Au1 0.500 0.500 0.500 1
```

Its density of states at the Fermi level is 0.670 states/eV/atom. The value obtained for the magnetic moment is 0.00 μB per formula unit.

***

Q: Which of them is the most stable? A: run two.

***

Run one
Bi2BAu2 | PBE-GGA | optimized geometry

```
data_Bi2BAu2
_chemical_formula_sum 'Bi4 B2 Au4'
_cell_length_a 5.984
_cell_length_b 5.984
_cell_length_c 6.760
_cell_angle_alpha 90.00
_cell_angle_beta 90.00
_cell_angle_gamma 90.00
_symmetry_space_group_name_H-M 'I 4/m m m'
_symmetry_Int_Tables_number 139
_symmetry_space_group_name_Hall '-I 4 2'
loop_
_atom_site_label
_atom_site_fract_x
_atom_site_fract_y
_atom_site_fract_z
_atom_site_occupancy
Bi1 0.000 0.500 0.250 1
B1 0.000 0.000 0.000 1
Au1 0.000 0.000 0.299 1
```

Its density of states at the Fermi level is 0.624 states/eV/atom. The value obtained for the magnetic moment is 0.00 μB per formula unit.

***

Run two
Bi2BAu2 | PBE-GGA | optimized geometry

```
data_Bi2BAu2
_chemical_formula_sum 'Bi4 B2 Au4'
_cell_length_a 6.258
_cell_length_b 6.258
_cell_length_c 5.961
_cell_angle_alpha 90.00
_cell_angle_beta 90.00
_cell_angle_gamma 90.00
_symmetry_space_group_name_H-M 'P 4/m b m'
_symmetry_Int_Tables_number 127
_symmetry_space_group_name_Hall '-P 4 2ab'
loop_
_atom_site_label
_atom_site_fract_x
_atom_site_fract_y
_atom_site_fract_z
_atom_site_occupancy
Bi1 0.209 0.291 0.000 1
B1 0.000 0.000 0.500 1
Au1 0.247 0.253 0.500 1
```

Its density of states at the Fermi level is 0.411 states/eV/atom. The value obtained for the magnetic moment is 0.00 μB per formula unit.

***

Q: Which of them is the most stable? A: run two.

***

Run one
BAu2Br | PBE-GGA | optimized geometry

```
data_BAu2Br
_chemical_formula_sum 'B4 Au8 Br4'
_cell_length_a 6.635
_cell_length_b 6.635
_cell_length_c 6.635
_cell_angle_alpha 90.00
_cell_angle_beta 90.00
_cell_angle_gamma 90.00
_symmetry_space_group_name_H-M 'F m -3 m'
_symmetry_Int_Tables_number 225
_symmetry_space_group_name_Hall '-F 4 2 3'
loop_
_atom_site_label
_atom_site_fract_x
_atom_site_fract_y
_atom_site_fract_z
_atom_site_occupancy
B1 0.000 0.000 0.000 1
Au1 0.250 0.250 0.250 1
Br1 0.000 0.000 0.500 1
```

Its density of states at the Fermi level is 0.253 states/eV/atom. The value obtained for the magnetic moment is 0.00 μB per formula unit.

***

Run two
BAu2Br | PBE-GGA | optimized geometry

```
data_BAu2Br
_chemical_formula_sum 'B4 Au8 Br4'
_cell_length_a 6.294
_cell_length_b 6.294
_cell_length_c 8.279
_cell_angle_alpha 90.00
_cell_angle_beta 90.00
_cell_angle_gamma 90.00
_symmetry_space_group_name_H-M 'I -4 2 d'
_symmetry_Int_Tables_number 122
_symmetry_space_group_name_Hall 'I -4 2bw'
loop_
_atom_site_label
_atom_site_fract_x
_atom_site_fract_y
_atom_site_fract_z
_atom_site_occupancy
B1 0.000 0.000 0.000 1
Au1 0.154 0.250 0.125 1
Br1 0.000 0.000 0.500 1
```

Its density of states at the Fermi level is 0.046 states/eV/atom. The value obtained for the magnetic moment is 0.00 μB per formula unit.

***

Q: Which of them is the most stable? A: run two.